(1)
! PBE-GGA ThInPt3, relaxed; values from VASP
! E_form = -0.4705 eV/atom
! DFT total energy = -0.45030 Ry per atom
! Magnetization = 0.00 μB/f.u.
! N(E_F) = 3.03 states/eV/f.u.
&SYSTEM
  ibrav = 0, nat = 10, ntyp = 3
/
ATOMIC_SPECIES
Th 232.04 Th.upf
In 114.82 In.upf
Pt 195.08 Pt.upf
CELL_PARAMETERS angstrom
7.091 0.000 0.000
0.000 3.696 0.000
-3.119 0.000 8.923
ATOMIC_POSITIONS crystal
Th 0.163 0.000 0.400
Th 0.837 0.000 0.600
In 0.113 0.500 0.900
In 0.887 0.500 0.100
Pt 0.255 0.500 0.670
Pt 0.298 0.500 0.208
Pt 0.500 0.500 0.000
Pt 0.500 0.500 0.500
Pt 0.702 0.500 0.792
Pt 0.745 0.500 0.330

(2)
! PBE-GGA LaPt2Br, relaxed; values from VASP
! ΔE_f (raw) = -0.671 eV per atom
! DFT total energy = -0.39262 Ry per atom
! Magnetization = 0.00 μB/f.u.
! N(E_F) = 1.05 states/eV/f.u.
&SYSTEM
  ibrav = 0, nat = 4, ntyp = 3
/
ATOMIC_SPECIES
La 138.91 La.upf
Pt 195.08 Pt.upf
Br 79.90 Br.upf
CELL_PARAMETERS angstrom
4.157 0.000 0.000
0.000 4.299 0.000
-1.642 0.000 5.911
ATOMIC_POSITIONS crystal
La 0.000 0.000 0.000
Pt 0.547 0.500 0.091
Pt 0.612 0.000 0.358
Br 0.540 0.500 0.663

(3)
! PBE-GGA CuGe2W, relaxed; values from VASP
! E_form = 0.5101 eV/atom
! DFT total energy = -0.44547 Ry per atom
! Magnetization = 0.00 μB/f.u.
! N(E_F) = 4.83 states/eV/f.u.
&SYSTEM
  ibrav = 0, nat = 16, ntyp = 3
/
ATOMIC_SPECIES
Cu 63.55 Cu.upf
Ge 72.64 Ge.upf
W 183.84 W.upf
CELL_PARAMETERS angstrom
6.262 0.000 0.000
0.000 6.262 0.000
0.000 0.000 6.262
ATOMIC_POSITIONS crystal
Cu 0.000 0.000 0.000
Cu 0.000 0.500 0.500
Cu 0.500 0.000 0.500
Cu 0.500 0.500 0.000
Ge 0.250 0.250 0.250
Ge 0.250 0.250 0.750
Ge 0.250 0.750 0.250
Ge 0.250 0.750 0.750
Ge 0.750 0.250 0.250
Ge 0.750 0.250 0.750
Ge 0.750 0.750 0.250
Ge 0.750 0.750 0.750
W 0.000 0.000 0.500
W 0.000 0.500 0.000
W 0.500 0.000 0.000
W 0.500 0.500 0.500

(4)
! PBE-GGA Th3Al3In, relaxed; values from VASP
! E_form = -0.3284 eV/atom
! DFT total energy = -0.40450 Ry per atom
! Magnetization = 0.00 μB/f.u.
! N(E_F) = 6.37 states/eV/f.u.
&SYSTEM
  ibrav = 0, nat = 14, ntyp = 3
/
ATOMIC_SPECIES
Th 232.04 Th.upf
Al 26.98 Al.upf
In 114.82 In.upf
CELL_PARAMETERS angstrom
5.759 -2.264 0.000
5.759 2.264 0.000
-4.941 0.000 13.978
ATOMIC_POSITIONS crystal
Th 0.015 0.015 0.373
Th 0.111 0.111 0.923
Th 0.240 0.240 0.222
Th 0.760 0.760 0.778
Th 0.889 0.889 0.077
Th 0.985 0.985 0.627
Al 0.377 0.377 0.454
Al 0.396 0.396 0.926
Al 0.478 0.478 0.778
Al 0.522 0.522 0.222
Al 0.604 0.604 0.074
Al 0.623 0.623 0.546
In 0.267 0.267 0.610
In 0.733 0.733 0.390

(5)
! PBE-GGA Cd2InHSe, relaxed; values from VASP
! DFT total energy = -0.15693 Ry per atom
! Magnetization = 0.00 μB/f.u.
! N(E_F) = 2.24 states/eV/f.u.
&SYSTEM
  ibrav = 0, nat = 5, ntyp = 4
/
ATOMIC_SPECIES
Cd 112.41 Cd.upf
In 114.82 In.upf
H 1.01 H.upf
Se 78.96 Se.upf
CELL_PARAMETERS angstrom
4.201 0.000 0.000
0.000 4.201 0.000
0.000 0.000 6.187
ATOMIC_POSITIONS crystal
Cd 0.000 0.500 0.000
Cd 0.500 0.000 0.000
In 0.000 0.000 0.500
H 0.500 0.500 0.000
Se 0.500 0.500 0.500

(6)
! PBE-GGA AcLa6Er2Tm, relaxed; values from VASP
! E_form = 0.1116 eV/atom
! DFT total energy = -0.33923 Ry per atom
! Magnetization = 0.00 μB/f.u.
! N(E_F) = 15.19 states/eV/f.u.
&SYSTEM
  ibrav = 0, nat = 20, ntyp = 4
/
ATOMIC_SPECIES
Ac 227.00 Ac.upf
La 138.91 La.upf
Er 167.26 Er.upf
Tm 168.93 Tm.upf
CELL_PARAMETERS angstrom
4.751 -7.766 0.000
4.751 7.766 0.000
-1.153 0.000 9.791
ATOMIC_POSITIONS crystal
Ac 0.028 0.972 0.750
Ac 0.972 0.028 0.250
La 0.000 0.449 0.312
La 0.000 0.551 0.688
La 0.116 0.757 0.052
La 0.243 0.884 0.448
La 0.295 0.512 0.880
La 0.449 0.000 0.812
La 0.488 0.705 0.620
La 0.512 0.295 0.380
La 0.551 0.000 0.188
La 0.705 0.488 0.120
La 0.757 0.116 0.552
La 0.884 0.243 0.948
Er 0.206 0.307 0.547
Er 0.307 0.206 0.047
Er 0.693 0.794 0.953
Er 0.794 0.693 0.453
Tm 0.413 0.587 0.250
Tm 0.587 0.413 0.750